{
  "formula": "CeHfMoPd",
  "functional": "PBE",
  "state": "optimized geometry",
  "lattice": [[6.827, 0.000, 0.000], [0.000, 6.827, 0.000], [0.000, 0.000, 6.827]],
  "species": ["Ce", "Ce", "Ce", "Ce", "Hf", "Hf", "Hf", "Hf", "Mo", "Mo", "Mo", "Mo", "Pd", "Pd", "Pd", "Pd"],
  "frac_coords": [[0.000, 0.000, 0.000], [0.000, 0.500, 0.500], [0.500, 0.000, 0.500], [0.500, 0.500, 0.000], [0.000, 0.000, 0.500], [0.000, 0.500, 0.000], [0.500, 0.000, 0.000], [0.500, 0.500, 0.500], [0.250, 0.250, 0.250], [0.250, 0.750, 0.750], [0.750, 0.250, 0.750], [0.750, 0.750, 0.250], [0.250, 0.250, 0.750], [0.250, 0.750, 0.250], [0.750, 0.250, 0.250], [0.750, 0.750, 0.750]],
  "space_group": "F-43m, No. 216",
  "n_ef_per_ev_fu": 3.0,
  "delta_e_f_kj_per_mol_atoms": -21.5,
  "total_energy_ev_per_atom": -8.2005
}

{
  "formula": "CeHfMoRh",
  "functional": "PBE",
  "state": "optimized geometry",
  "lattice": [[6.757, 0.000, 0.000], [0.000, 6.757, 0.000], [0.000, 0.000, 6.757]],
  "species": ["Ce", "Ce", "Ce", "Ce", "Hf", "Hf", "Hf", "Hf", "Mo", "Mo", "Mo", "Mo", "Rh", "Rh", "Rh", "Rh"],
  "frac_coords": [[0.000, 0.000, 0.000], [0.000, 0.500, 0.500], [0.500, 0.000, 0.500], [0.500, 0.500, 0.000], [0.000, 0.000, 0.500], [0.000, 0.500, 0.000], [0.500, 0.000, 0.000], [0.500, 0.500, 0.500], [0.250, 0.250, 0.750], [0.250, 0.750, 0.250], [0.750, 0.250, 0.250], [0.750, 0.750, 0.750], [0.250, 0.250, 0.250], [0.250, 0.750, 0.750], [0.750, 0.250, 0.750], [0.750, 0.750, 0.250]],
  "space_group": "F-43m, No. 216",
  "n_ef_per_ev_fu": 3.3,
  "delta_e_f_kj_per_mol_atoms": -27.8,
  "total_energy_ev_per_atom": -8.8056
}